Below is a relaxed structure of NdDy3Au4, with properties calculated at the PBE level.

a b c (Å): 5.119 5.119 8.954
angles (deg): 73.39 73.39 60.00
Fractional coordinates of all 8 atoms:
Au 0.128 0.128 0.617
Dy 0.249 0.249 0.253
Au 0.620 0.620 0.139
Dy 0.751 0.751 0.747
Dy 0.500 0.500 0.500
Au 0.872 0.872 0.383
Nd 0.000 0.000 0.000
Au 0.380 0.380 0.861

Calculated values
The formation energy is -0.83 eV per atom. The volume comes out at 23.973 Å³/atom. The space group is R-3m (166). The total magnetization is 0.00 μB per atom.